A plane-wave DFT calculation with PBEsol was carried out for a relaxed RePPtCl2 crystal.

Calculated values
- ΔE to the lowest computed polymorph: 330 meV per atom
- Total moment: 4.241 μB/f.u.
- Raw formation energy: 1.29 eV per atom
- Crystal system: tetragonal

Lattice parameters (Å, degrees): 4.675 4.675 4.802 90.00 90.00 90.00
Element x y z (fractional)
P1 0.000 0.000 0.500
Re1 0.500 0.500 0.500
Pt1 0.000 0.000 0.000
Cl1 0.500 0.000 0.000
Cl2 0.000 0.500 0.000